(1)
# PBE Zr3InTe, optimized geometry
data_Zr3InTe
_chemical_formula_sum 'Zr6 In2 Te2'
_symmetry_space_group_name_H-M 'P 1'
_symmetry_Int_Tables_number 1
_symmetry_space_group_name_Hall 'P 1'
_cell_length_a 8.4571
_cell_length_b 3.5190
_cell_length_c 9.1226
_cell_angle_alpha 90.00
_cell_angle_beta 115.13
_cell_angle_gamma 90.00
loop_
_atom_site_label
_atom_site_type_symbol
_atom_site_fract_x
_atom_site_fract_y
_atom_site_fract_z
Zr1 Zr 0.0000 0.0000 0.0000
Zr2 Zr 0.0464 0.5000 0.3093
Zr3 Zr 0.2085 0.0000 0.7898
Zr4 Zr 0.4262 0.0000 0.4002
Zr5 Zr 0.6275 0.0000 0.1694
Zr6 Zr 0.7364 0.5000 0.6677
In1 In 0.3141 0.5000 0.0967
In2 In 0.8873 0.0000 0.4937
Te1 Te 0.3667 0.5000 0.6259
Te2 Te 0.7249 0.5000 0.9783
# calculated volume: 24.6 Å³ per atom
# polymorph energy (0 for the lowest one): 0 meV/atom
# electronic total energy: -6.54 eV/atom
# formation energy from raw total energies: -230 meV per atom

=====

(2)
# PBE TlOsRh2, optimized geometry
data_TlOsRh2
_chemical_formula_sum 'Tl1 Os1 Rh2'
_symmetry_space_group_name_H-M 'P 1'
_symmetry_Int_Tables_number 1
_symmetry_space_group_name_Hall 'P 1'
_cell_length_a 4.8474
_cell_length_b 4.8474
_cell_length_c 4.8474
_cell_angle_alpha 130.83
_cell_angle_beta 130.83
_cell_angle_gamma 72.08
loop_
_atom_site_label
_atom_site_type_symbol
_atom_site_fract_x
_atom_site_fract_y
_atom_site_fract_z
Tl1 Tl 0.0000 0.0000 0.0000
Os1 Os 0.5000 0.5000 0.0000
Rh1 Rh 0.2500 0.7500 0.5000
Rh2 Rh 0.7500 0.2500 0.5000
# calculated volume: 15.9 Å³ per atom
# polymorph energy (0 for the lowest one): 196 meV/atom
# electronic total energy: -6.66 eV/atom

=====

(3)
# PBE Cd2AgCl, optimized geometry
data_Cd2AgCl
_chemical_formula_sum 'Cd2 Ag1 Cl1'
_symmetry_space_group_name_H-M 'P 1'
_symmetry_Int_Tables_number 1
_symmetry_space_group_name_Hall 'P 1'
_cell_length_a 5.2255
_cell_length_b 5.2255
_cell_length_c 3.3569
_cell_angle_alpha 90.00
_cell_angle_beta 90.00
_cell_angle_gamma 110.58
loop_
_atom_site_label
_atom_site_type_symbol
_atom_site_fract_x
_atom_site_fract_y
_atom_site_fract_z
Cd1 Cd 0.0000 0.5000 0.0000
Cd2 Cd 0.5000 0.0000 0.0000
Ag1 Ag 0.0000 0.0000 0.5000
Cl1 Cl 0.5000 0.5000 0.5000
# calculated volume: 21.5 Å³ per atom
# polymorph energy (0 for the lowest one): 92 meV/atom
# electronic total energy: -1.80 eV/atom
# formation energy from raw total energies: -171 meV per atom

=====

(4)
# PBE CsEuCl3, optimized geometry
data_CsEuCl3
_chemical_formula_sum 'Cs4 Eu4 Cl12'
_symmetry_space_group_name_H-M 'P 1'
_symmetry_Int_Tables_number 1
_symmetry_space_group_name_Hall 'P 1'
_cell_length_a 8.0312
_cell_length_b 11.2878
_cell_length_c 7.9255
_cell_angle_alpha 90.00
_cell_angle_beta 90.00
_cell_angle_gamma 90.00
loop_
_atom_site_label
_atom_site_type_symbol
_atom_site_fract_x
_atom_site_fract_y
_atom_site_fract_z
Cs1 Cs 0.0395 0.2500 0.0090
Cs2 Cs 0.4605 0.7500 0.5090
Cs3 Cs 0.5395 0.2500 0.4910
Cs4 Cs 0.9605 0.7500 0.9910
Eu1 Eu 0.0000 0.0000 0.5000
Eu2 Eu 0.0000 0.5000 0.5000
Eu3 Eu 0.5000 0.0000 0.0000
Eu4 Eu 0.5000 0.5000 0.0000
Cl1 Cl 0.0135 0.7500 0.4374
Cl2 Cl 0.2135 0.5328 0.7872
Cl3 Cl 0.2135 0.9672 0.7872
Cl4 Cl 0.2865 0.0328 0.2872
Cl5 Cl 0.2865 0.4672 0.2872
Cl6 Cl 0.4865 0.2500 0.9374
Cl7 Cl 0.5135 0.7500 0.0626
Cl8 Cl 0.7135 0.5328 0.7128
Cl9 Cl 0.7135 0.9672 0.7128
Cl10 Cl 0.7865 0.0328 0.2128
Cl11 Cl 0.7865 0.4672 0.2128
Cl12 Cl 0.9865 0.2500 0.5626
# calculated volume: 35.9 Å³ per atom
# electronic total energy: -5.58 eV/atom
# formation energy from raw total energies: -2248 meV per atom

=====

(5)
# PBE Tb2PmPr3, optimized geometry
data_Tb2PmPr3
_chemical_formula_sum 'Tb2 Pm1 Pr3'
_symmetry_space_group_name_H-M 'P 1'
_symmetry_Int_Tables_number 1
_symmetry_space_group_name_Hall 'P 1'
_cell_length_a 10.5074
_cell_length_b 10.5074
_cell_length_c 10.5074
_cell_angle_alpha 160.69
_cell_angle_beta 146.64
_cell_angle_gamma 38.83
loop_
_atom_site_label
_atom_site_type_symbol
_atom_site_fract_x
_atom_site_fract_y
_atom_site_fract_z
Tb1 Tb 0.1376 0.1376 0.0000
Tb2 Tb 0.8624 0.8624 0.0000
Pm1 Pm 0.5000 0.5000 0.0000
Pr1 Pr 0.0000 0.5000 0.5000
Pr2 Pr 0.3101 0.3101 0.0000
Pr3 Pr 0.6899 0.6899 0.0000
# calculated volume: 35.1 Å³ per atom
# polymorph energy (0 for the lowest one): 301 meV/atom
# electronic total energy: -4.41 eV/atom

=====

(6)
# PBE Pd3RhO6, optimized geometry
data_Pd3RhO6
_chemical_formula_sum 'Pd3 Rh1 O6'
_symmetry_space_group_name_H-M 'P 1'
_symmetry_Int_Tables_number 1
_symmetry_space_group_name_Hall 'P 1'
_cell_length_a 5.6851
_cell_length_b 5.6851
_cell_length_c 5.6851
_cell_angle_alpha 55.63
_cell_angle_beta 55.63
_cell_angle_gamma 55.63
loop_
_atom_site_label
_atom_site_type_symbol
_atom_site_fract_x
_atom_site_fract_y
_atom_site_fract_z
Pd1 Pd 0.0000 0.0000 0.0000
Pd2 Pd 0.1991 0.1991 0.1991
Pd3 Pd 0.4964 0.4964 0.4964
Rh1 Rh 0.6950 0.6950 0.6950
O1 O 0.0843 0.4078 0.7922
O2 O 0.3002 0.8956 0.6018
O3 O 0.4078 0.7922 0.0843
O4 O 0.6018 0.3002 0.8956
O5 O 0.7922 0.0843 0.4078
O6 O 0.8956 0.6018 0.3002
# calculated volume: 11.7 Å³ per atom
# electronic total energy: -5.64 eV/atom
# formation energy from raw total energies: -368 meV per atom

=====

(7)
# PBE HfP2, optimized geometry
data_HfP2
_chemical_formula_sum 'Hf4 P8'
_symmetry_space_group_name_H-M 'P 1'
_symmetry_Int_Tables_number 1
_symmetry_space_group_name_Hall 'P 1'
_cell_length_a 6.4714
_cell_length_b 3.5041
_cell_length_c 8.6954
_cell_angle_alpha 90.00
_cell_angle_beta 90.00
_cell_angle_gamma 90.00
loop_
_atom_site_label
_atom_site_type_symbol
_atom_site_fract_x
_atom_site_fract_y
_atom_site_fract_z
Hf1 Hf 0.2221 0.2500 0.1640
Hf2 Hf 0.2779 0.7500 0.6640
Hf3 Hf 0.7221 0.2500 0.3360
Hf4 Hf 0.7779 0.7500 0.8360
P1 P 0.0929 0.2500 0.8571
P2 P 0.1101 0.2500 0.4605
P3 P 0.3899 0.7500 0.9605
P4 P 0.4071 0.7500 0.3571
P5 P 0.5929 0.2500 0.6429
P6 P 0.6101 0.2500 0.0395
P7 P 0.8899 0.7500 0.5395
P8 P 0.9071 0.7500 0.1429
# calculated volume: 16.4 Å³ per atom
# electronic total energy: -7.85 eV/atom

=====

(8)
# PBE Ba12AlGa6, optimized geometry
data_Ba12AlGa6
_chemical_formula_sum 'Ba12 Al1 Ga6'
_symmetry_space_group_name_H-M 'P 1'
_symmetry_Int_Tables_number 1
_symmetry_space_group_name_Hall 'P 1'
_cell_length_a 10.2113
_cell_length_b 10.2113
_cell_length_c 10.2113
_cell_angle_alpha 109.47
_cell_angle_beta 109.47
_cell_angle_gamma 109.47
loop_
_atom_site_label
_atom_site_type_symbol
_atom_site_fract_x
_atom_site_fract_y
_atom_site_fract_z
Ba1 Ba 0.1129 0.2982 0.8147
Ba2 Ba 0.1853 0.4834 0.2982
Ba3 Ba 0.1853 0.8871 0.7018
Ba4 Ba 0.2982 0.1853 0.4834
Ba5 Ba 0.2982 0.8147 0.1129
Ba6 Ba 0.4834 0.2982 0.1853
Ba7 Ba 0.5166 0.7018 0.8147
Ba8 Ba 0.7018 0.1853 0.8871
Ba9 Ba 0.7018 0.8147 0.5166
Ba10 Ba 0.8147 0.1129 0.2982
Ba11 Ba 0.8147 0.5166 0.7018
Ba12 Ba 0.8871 0.7018 0.1853
Al1 Al 0.0000 0.0000 0.0000
Ga1 Ga 0.1092 0.5000 0.6092
Ga2 Ga 0.3908 0.8908 0.5000
Ga3 Ga 0.5000 0.3908 0.8908
Ga4 Ga 0.5000 0.6092 0.1092
Ga5 Ga 0.6092 0.1092 0.5000
Ga6 Ga 0.8908 0.5000 0.3908
# calculated volume: 43.1 Å³ per atom
# electronic total energy: -2.55 eV/atom

=====

(9)
# PBE TaRuSCl2, optimized geometry
data_TaRuSCl2
_chemical_formula_sum 'Ta1 Ru1 S1 Cl2'
_symmetry_space_group_name_H-M 'P 1'
_symmetry_Int_Tables_number 1
_symmetry_space_group_name_Hall 'P 1'
_cell_length_a 4.6352
_cell_length_b 4.6352
_cell_length_c 4.7063
_cell_angle_alpha 90.00
_cell_angle_beta 90.00
_cell_angle_gamma 90.00
loop_
_atom_site_label
_atom_site_type_symbol
_atom_site_fract_x
_atom_site_fract_y
_atom_site_fract_z
Ta1 Ta 0.0000 0.0000 0.0000
Ru1 Ru 0.5000 0.5000 0.5000
S1 S 0.5000 0.5000 0.0000
Cl1 Cl 0.0000 0.5000 0.5000
Cl2 Cl 0.5000 0.0000 0.5000
# calculated volume: 20.2 Å³ per atom
# polymorph energy (0 for the lowest one): 392 meV/atom
# electronic total energy: -4.94 eV/atom
# formation energy from raw total energies: 846 meV per atom